1.
Density functional theory data (PBE) for a relaxed YCo2H7 crystal.

The total energy comes out at -92.7 eV/cell.

The structure belongs to space group Cmmm (No. 65); the cell edges are 4.981, 8.136 and 3.447 Å and the angles 90.00°, 90.00° and 90.00°. The distinct sites, in fractional coordinates, are Y at (0.000, 0.000, 0.000), Co at (0.000, 0.306, 0.500), H at (0.000, 0.308, 0.000), H at (0.000, 0.500, 0.500) and H at (0.187, 0.142, 0.500).

2.
Density functional theory data (PBE) for a relaxed AcPSe3 crystal.

The total energy comes out at -99.9 eV/cell. The energy relative to the elements, uncorrected comes out at -998 meV/atom.

The structure belongs to space group P2_1/c (No. 14); the cell edges are 6.288, 9.157 and 11.568 Å and the angles 90.00°, 121.85° and 90.00°. The distinct sites, in fractional coordinates, are Ac at (0.182, 0.132, 0.246), P at (0.078, 0.610, 0.052), Se at (0.067, 0.155, 0.931), Se at (0.299, 0.668, 0.953) and Se at (0.342, 0.517, 0.263).

3.
Density functional theory data (PBE) for a relaxed Cs2KBa crystal.

The total energy comes out at -4.2 eV/cell. The formation energy is 0.139 eV/atom.

The structure belongs to space group P4/mmm (No. 123); the cell edges are 8.264, 8.264 and 5.168 Å and the angles 90.00°, 90.00° and 90.00°. The distinct sites, in fractional coordinates, are Cs at (0.000, 0.500, 0.000), K at (0.000, 0.000, 0.500) and Ba at (0.500, 0.500, 0.500).

4.
Density functional theory data (PBE) for a relaxed Ag2RuCl crystal.

The total energy comes out at -15.1 eV/cell. The energy relative to the elements, uncorrected comes out at 421 meV/atom.

The structure belongs to space group P4mm (No. 99); the cell edges are 2.962, 2.962 and 8.221 Å and the angles 90.00°, 90.00° and 90.00°. The distinct sites, in fractional coordinates, are Ag at (0.000, 0.000, 0.000), Ag at (0.500, 0.500, 0.246), Ru at (0.500, 0.500, 0.759) and Cl at (0.000, 0.000, 0.565).

5.
Density functional theory data (PBE) for a relaxed P2RhF crystal.

The total energy comes out at -86.0 eV/cell. The energy relative to the elements, uncorrected comes out at -366 meV/atom.

The structure belongs to space group Fm-3m (No. 225); the cell edges are 5.834, 5.834 and 5.834 Å and the angles 90.00°, 90.00° and 90.00°. The distinct sites, in fractional coordinates, are P at (0.250, 0.250, 0.250), Rh at (0.000, 0.000, 0.000) and F at (0.000, 0.000, 0.500).

6.
Density functional theory data (PBE) for a relaxed Dy2InAg crystal.

The total energy comes out at -46.5 eV/cell. The formation energy is -0.178 eV/atom.

The structure belongs to space group R-3m (No. 166, hexagonal axes); the cell edges are 3.6852, 3.6852 and 27.9263 Å and the angles 90.00°, 90.00° and 120.00°. The distinct sites, in fractional coordinates, are Dy at (0.0000, 0.0000, 0.2466), In at (0.0000, 0.0000, 0.0000) and Ag at (0.0000, 0.0000, 0.5000).

7.
Density functional theory data (PBE) for a relaxed Tb4DyTm5 crystal.

The total energy comes out at -44.9 eV/cell. The formation energy is 0.058 eV/atom.

The structure belongs to space group P-1 (No. 2); the cell edges are 3.523, 6.677 and 13.817 Å and the angles 97.77°, 91.31° and 104.69°. The distinct sites, in fractional coordinates, are Tb at (0.143, 0.212, 0.307), Tb at (0.154, 0.320, 0.715), Dy at (0.000, 0.500, 0.500), Tm at (0.194, 0.377, 0.083), Tm at (0.472, 0.922, 0.113) and Tm at (0.500, 0.000, 0.500).

8.
Density functional theory data (PBE) for a relaxed ErSb2Pd4 crystal.

The total energy comes out at -76.4 eV/cell. The energy relative to the elements, uncorrected comes out at -662 meV/atom.

The structure belongs to space group P4_2/mnm (No. 136); the cell edges are 7.888, 7.888 and 4.366 Å and the angles 90.00°, 90.00° and 90.00°. The distinct sites, in fractional coordinates, are Er at (0.000, 0.000, 0.000), Sb at (0.216, 0.216, 0.500) and Pd at (0.099, 0.647, 0.500).

9.
Density functional theory data (PBE) for a relaxed PaTl3Pd12 crystal.

The total energy comes out at -85.2 eV/cell. The formation energy is -0.396 eV/atom.

The structure belongs to space group P4/mmm (No. 123); the cell edges are 4.102, 4.102 and 16.430 Å and the angles 90.00°, 90.00° and 90.00°. The distinct sites, in fractional coordinates, are Pa at (0.000, 0.000, 0.000), Tl at (0.000, 0.000, 0.255), Tl at (0.000, 0.000, 0.500), Pd at (0.000, 0.500, 0.121), Pd at (0.000, 0.500, 0.376), Pd at (0.500, 0.500, 0.000), Pd at (0.500, 0.500, 0.248) and Pd at (0.500, 0.500, 0.500).

10.
Density functional theory data (PBE) for a relaxed ErZnGa6 crystal.

The total energy comes out at -51.1 eV/cell. The formation energy is -0.196 eV/atom.

The structure belongs to space group Cmmm (No. 65); the cell edges are 6.661, 10.191 and 4.449 Å and the angles 90.00°, 90.00° and 90.00°. The distinct sites, in fractional coordinates, are Er at (0.000, 0.000, 0.000), Zn at (0.000, 0.500, 0.000), Ga at (0.000, 0.213, 0.500), Ga at (0.202, 0.500, 0.500) and Ga at (0.250, 0.250, 0.000).

11.
Density functional theory data (PBE) for a relaxed AcCd2Ag2 crystal.

The total energy comes out at -50.9 eV/cell. The formation energy is -0.218 eV/atom.

The structure belongs to space group I4/mmm (No. 139); the cell edges are 4.562, 4.562 and 24.722 Å and the angles 90.00°, 90.00° and 90.00°. The distinct sites, in fractional coordinates, are Ac at (0.000, 0.000, 0.128), Cd at (0.000, 0.000, 0.317), Cd at (0.000, 0.500, 0.000), Ag at (0.000, 0.000, 0.429) and Ag at (0.000, 0.500, 0.250).

12.
Density functional theory data (PBE) for a relaxed HgPbBr2 crystal.

The total energy comes out at -17.9 eV/cell. The energy relative to the elements, uncorrected comes out at -394 meV/atom.

The structure belongs to space group Cmm2 (No. 35); the cell edges are 5.598, 5.605 and 8.169 Å and the angles 90.00°, 90.00° and 90.00°. The distinct sites, in fractional coordinates, are Hg at (0.000, 0.000, 0.000), Pb at (0.000, 0.500, 0.235), Br at (0.000, 0.000, 0.441) and Br at (0.000, 0.500, 0.832).

13.
Density functional theory data (PBE) for a relaxed Th8P3RhSe4 crystal.

The total energy comes out at -362.4 eV/cell. The energy relative to the elements, uncorrected comes out at -1495 meV/atom.

The structure belongs to space group R-3m (No. 166, hexagonal axes); the cell edges are 8.3365, 8.3365 and 20.6830 Å and the angles 90.00°, 90.00° and 120.00°. The distinct sites, in fractional coordinates, are Th at (0.0000, 0.0000, 0.2435), Th at (0.0008, 0.5004, 0.2436), P at (0.0000, 0.5000, 0.5000), Rh at (0.0000, 0.0000, 0.5000), Se at (0.0000, 0.0000, 0.0000) and Se at (0.0000, 0.5000, 0.0000).

14.
Density functional theory data (PBE) for a relaxed PuSe6Br12 crystal.

The total energy comes out at -182.7 eV/cell. The energy relative to the elements, uncorrected comes out at -294 meV/atom.

The structure belongs to space group R-3 (No. 148, hexagonal axes); the cell edges are 10.8170, 10.8170 and 19.2017 Å and the angles 90.00°, 90.00° and 120.00°. The distinct sites, in fractional coordinates, are Pu at (0.0000, 0.0000, 0.0000), Se at (0.0198, 0.1385, 0.2883), Br at (0.0530, 0.2273, 0.9141) and Br at (0.0529, 0.2296, 0.4149).

15.
Density functional theory data (PBE) for a relaxed Rb2NbZnF6 crystal.

The total energy comes out at -196.6 eV/cell. The energy relative to the elements, uncorrected comes out at -2465 meV/atom.

The structure belongs to space group Fm-3m (No. 225); the cell edges are 9.688, 9.688 and 9.688 Å and the angles 90.00°, 90.00° and 90.00°. The distinct sites, in fractional coordinates, are Rb at (0.250, 0.250, 0.250), Nb at (0.000, 0.000, 0.000), Zn at (0.000, 0.000, 0.500) and F at (0.000, 0.000, 0.208).

16.
Density functional theory data (PBE) for a relaxed Cr2SiRuSe crystal.

The total energy comes out at -30.9 eV/cell. The energy relative to the elements, uncorrected comes out at 1297 meV/atom.

The structure belongs to space group P4/mmm (No. 123); the cell edges are 4.496, 4.496 and 4.730 Å and the angles 90.00°, 90.00° and 90.00°. The distinct sites, in fractional coordinates, are Cr at (0.000, 0.500, 0.000), Si at (0.000, 0.000, 0.000), Ru at (0.500, 0.500, 0.500) and Se at (0.000, 0.000, 0.500).

17.
Density functional theory data (PBE) for a relaxed Tb7Co3 crystal.

The total energy comes out at -110.4 eV/cell. The formation energy is -0.146 eV/atom.

The structure belongs to space group P6_3mc (No. 186); the cell edges are 9.6181, 9.6181 and 6.1358 Å and the angles 90.00°, 90.00° and 120.00°. The distinct sites, in fractional coordinates, are Tb at (0.0825, 0.5412, 0.0000), Tb at (0.1241, 0.2482, 0.6783), Tb at (0.3333, 0.6667, 0.4684) and Co at (0.1895, 0.3790, 0.2584).

18.
Density functional theory data (PBE) for a relaxed Ho6Ni2Pd crystal.

The total energy comes out at -94.3 eV/cell. The formation energy is -0.327 eV/atom.

The structure belongs to space group P2_1/c (No. 14); the cell edges are 6.411, 7.022 and 11.663 Å and the angles 90.00°, 119.70° and 90.00°. The distinct sites, in fractional coordinates, are Ho at (0.077, 0.185, 0.423), Ho at (0.235, 0.666, 0.419), Ho at (0.407, 0.052, 0.241), Ni at (0.175, 0.115, 0.733) and Pd at (0.500, 0.000, 0.500).

19.
Density functional theory data (PBE) for a relaxed Sc2MoCl crystal.

The total energy comes out at -25.6 eV/cell. The energy relative to the elements, uncorrected comes out at -65 meV/atom.

The structure belongs to space group P4mm (No. 99); the cell edges are 2.982, 2.982 and 10.320 Å and the angles 90.00°, 90.00° and 90.00°. The distinct sites, in fractional coordinates, are Sc at (0.000, 0.000, 0.000), Sc at (0.500, 0.500, 0.266), Mo at (0.500, 0.500, 0.802) and Cl at (0.000, 0.000, 0.417).

20.
Density functional theory data (PBE) for a relaxed Zr2TiPt crystal.

The total energy comes out at -32.9 eV/cell. The formation energy is -0.473 eV/atom.

The structure belongs to space group P4/mmm (No. 123); the cell edges are 4.669, 4.669 and 3.501 Å and the angles 90.00°, 90.00° and 90.00°. The distinct sites, in fractional coordinates, are Zr at (0.000, 0.500, 0.000), Ti at (0.000, 0.000, 0.500) and Pt at (0.500, 0.500, 0.500).